[1]
Below is Na2SbMoN after structural relaxation, with properties calculated at the GGA-PBE level.

The value obtained for the total magnetic moment is 3.3 μB per cell. The uncorrected formation energy comes out at 1.70 eV per atom.

Cell and atoms, written as CIF:
```
data_Na2SbMoN
_space_group_name_H-M_alt 'P 4/m m m'
_space_group_IT_number 123
_space_group_name_Hall '-P 4 2'
_cell_length_a 5.904
_cell_length_b 5.904
_cell_length_c 5.244
_cell_angle_alpha 90.00
_cell_angle_beta 90.00
_cell_angle_gamma 90.00
loop_
_atom_site_label
_atom_site_fract_x
_atom_site_fract_y
_atom_site_fract_z
Na1 0.000 0.500 0.000
Sb1 0.000 0.000 0.000
Mo1 0.000 0.000 0.500
N1 0.500 0.500 0.500
```


[2]
Below is Rb2PuAg2S4 after structural relaxation, with properties calculated at the GGA-PBE level.

The value obtained for the total magnetic moment is 8.0 μB per cell. The uncorrected formation energy comes out at -0.98 eV per atom.

Cell and atoms, written as CIF:
```
data_Rb2PuAg2S4
_space_group_name_H-M_alt 'C 1 2/m 1'
_space_group_IT_number 12
_space_group_name_Hall '-C 2y'
_cell_length_a 15.085
_cell_length_b 4.155
_cell_length_c 7.912
_cell_angle_alpha 90.00
_cell_angle_beta 109.56
_cell_angle_gamma 90.00
loop_
_atom_site_label
_atom_site_fract_x
_atom_site_fract_y
_atom_site_fract_z
Rb1 0.136 0.000 0.067
Pu1 0.000 0.000 0.500
Ag1 0.179 0.500 0.481
S1 0.010 0.500 0.276
S2 0.190 0.000 0.683
```


[3]
Below is RuNCl after structural relaxation, with properties calculated at the GGA-PBE level.

The value obtained for the total magnetic moment is 0.0 μB per cell. The uncorrected formation energy comes out at 0.03 eV per atom.

Cell and atoms, written as CIF:
```
data_RuNCl
_space_group_name_H-M_alt 'P 1 21/m 1'
_space_group_IT_number 11
_space_group_name_Hall '-P 2yb'
_cell_length_a 3.324
_cell_length_b 3.958
_cell_length_c 8.302
_cell_angle_alpha 90.00
_cell_angle_beta 93.49
_cell_angle_gamma 90.00
loop_
_atom_site_label
_atom_site_fract_x
_atom_site_fract_y
_atom_site_fract_z
Ru1 0.199 0.250 0.086
N1 0.324 0.750 0.051
Cl1 0.274 0.750 0.696
```


[4]
Below is Sm2SbI after structural relaxation, with properties calculated at the GGA-PBE level.

The value obtained for the total magnetic moment is 0.0 μB per cell. The uncorrected formation energy comes out at -0.73 eV per atom.

Cell and atoms, written as CIF:
```
data_Sm2SbI
_space_group_name_H-M_alt 'A m m 2'
_space_group_IT_number 38
_space_group_name_Hall 'A 2 -2'
_cell_length_a 6.230
_cell_length_b 5.011
_cell_length_c 9.780
_cell_angle_alpha 90.00
_cell_angle_beta 90.00
_cell_angle_gamma 90.00
loop_
_atom_site_label
_atom_site_fract_x
_atom_site_fract_y
_atom_site_fract_z
Sm1 0.000 0.000 0.000
Sm2 0.500 0.000 0.310
Sb1 0.500 0.000 0.994
I1 0.000 0.000 0.314
```


[5]
Below is Li2InGa9 after structural relaxation, with properties calculated at the GGA-PBE level.

The value obtained for the total magnetic moment is 0.0 μB per cell. The value obtained for the raw total energy is -2.909 eV per atom.

Cell and atoms, written as CIF:
```
data_Li2InGa9
_space_group_name_H-M_alt 'P 4/m m m'
_space_group_IT_number 123
_space_group_name_Hall '-P 4 2'
_cell_length_a 4.094
_cell_length_b 4.094
_cell_length_c 13.185
_cell_angle_alpha 90.00
_cell_angle_beta 90.00
_cell_angle_gamma 90.00
loop_
_atom_site_label
_atom_site_fract_x
_atom_site_fract_y
_atom_site_fract_z
Li1 0.000 0.000 0.154
In1 0.000 0.000 0.500
Ga1 0.000 0.500 0.000
Ga2 0.000 0.500 0.313
Ga3 0.500 0.500 0.155
Ga4 0.500 0.500 0.500
```


[6]
Below is Ba2Ag2I after structural relaxation, with properties calculated at the GGA-PBE level.

The value obtained for the total magnetic moment is 0.0 μB per cell. The uncorrected formation energy comes out at -0.51 eV per atom. The polymorph energy (0 for the lowest one) comes out at 234 meV/atom.

Cell and atoms, written as CIF:
```
data_Ba2Ag2I
_space_group_name_H-M_alt 'I 4/m m m'
_space_group_IT_number 139
_space_group_name_Hall '-I 4 2'
_cell_length_a 4.183
_cell_length_b 4.183
_cell_length_c 20.204
_cell_angle_alpha 90.00
_cell_angle_beta 90.00
_cell_angle_gamma 90.00
loop_
_atom_site_label
_atom_site_fract_x
_atom_site_fract_y
_atom_site_fract_z
Ba1 0.000 0.000 0.119
Ag1 0.000 0.500 0.250
I1 0.000 0.000 0.500
```


Q: Which formula does entry 2 have?
A: Rb2PuAg2S4